# DyMg3Pd12

DyMg3Pd12 after structural relaxation (GGA-PBE, the Alexandria database).

Cell lengths 4.0264, 4.0264, 15.9103 Å; angles 90.00, 90.00, 90.00 degrees
Closest atoms and distances in Å follow each position.
Space group P4/mmm (No. 123)
Symmetry-distinct sites (fractional):
Dy (0.0000, 0.0000, 0.0000) (multiplicity 1)  12 Pd 2.85-2.92
Mg (0.0000, 0.0000, 0.2561) (multiplicity 2)  12 Pd 2.80-2.85
Mg (0.0000, 0.0000, 0.5000) (multiplicity 1)  12 Pd 2.79-2.85
Pd (0.0000, 0.5000, 0.1331) (multiplicity 4)  8 Pd 2.80-2.92, 2 Mg 2.81, 2 Dy 2.92
Pd (0.0000, 0.5000, 0.3783) (multiplicity 4)  4 Mg 2.79-2.80, 8 Pd 2.79-2.85
Pd (0.5000, 0.5000, 0.0000) (multiplicity 1)  4 Dy 2.85, 8 Pd 2.92
Pd (0.5000, 0.5000, 0.2558) (multiplicity 2)  8 Pd 2.80, 4 Mg 2.85
Pd (0.5000, 0.5000, 0.5000) (multiplicity 1)  8 Pd 2.79, 4 Mg 2.85

Calculated values
The formation energy is -566 meV/atom.



# DyMg5Pd2

DyMg5Pd2 after structural relaxation (GGA-PBE, the Alexandria database).

Cell lengths 4.0709, 8.3820, 9.9950 Å; angles 90.00, 90.00, 90.00 degrees
Closest atoms and distances in Å follow each position.
Space group Immm (No. 71)
Symmetry-distinct sites (fractional):
Dy (0.0000, 0.0000, 0.0000) (multiplicity 2)  4 Pd 3.03
Mg (0.0000, 0.1863, 0.3415) (multiplicity 8)  3 Pd 2.71-2.82, 4 Mg 2.94-3.02
Mg (0.0000, 0.5000, 0.0000) (multiplicity 2)  2 Pd 2.75, 8 Mg 3.02
Pd (0.0000, 0.5000, 0.2754) (multiplicity 4)  7 Mg 2.71-2.82, 2 Dy 3.03

Calculated values
The formation energy is -438 meV/atom.



# Dy3MgPd3

Dy3MgPd3 after structural relaxation (GGA-PBE, the Alexandria database).

Cell lengths 8.8573, 10.3595, 7.0101 Å; angles 90.00, 92.70, 90.00 degrees
Closest atoms and distances in Å follow each position.
Space group C2/m (No. 12)
Symmetry-distinct sites (fractional):
Dy (0.0000, 0.1718, 0.0000) (multiplicity 4)  6 Pd 2.74-2.90
Dy (0.0000, 0.2548, 0.5000) (multiplicity 4)  6 Pd 2.97-3.01
Dy (0.1505, 0.5000, 0.8625) (multiplicity 4)  3 Pd 2.85-2.98
Mg (0.2382, 0.5000, 0.3676) (multiplicity 4)  4 Pd 2.65-2.95
Pd (0.0664, 0.0000, 0.3156) (multiplicity 4)  2 Mg 2.75-2.95, 5 Dy 2.85-3.01, 1 Pd 2.89
Pd (0.2403, 0.2652, 0.2183) (multiplicity 8)  1 Mg 2.65, 2 Dy 2.74-2.90

Calculated values
The formation energy is -657 meV/atom.



# Dy3Mg2Pd3

Dy3Mg2Pd3 after structural relaxation (GGA-PBE, the Alexandria database).

Cell lengths 3.4374, 4.9966, 20.4697 Å; angles 90.00, 90.00, 90.00 degrees
Closest atoms and distances in Å follow each position.
Space group Immm (No. 71)
Symmetry-distinct sites (fractional):
Dy (0.0000, 0.0000, 0.0000) (multiplicity 2)  8 Pd 3.02-3.03
Dy (0.0000, 0.5000, 0.1195) (multiplicity 4)  6 Pd 2.99-3.03
Mg (0.0000, 0.0000, 0.2303) (multiplicity 4)  2 Pd 2.82, 4 Mg 3.14
Pd (0.0000, 0.0000, 0.5000) (multiplicity 2)  8 Dy 2.99-3.03
Pd (0.0000, 0.5000, 0.3788) (multiplicity 4)  2 Mg 2.82, 6 Dy 3.02-3.03

Calculated values
The formation energy is -650 meV/atom. The relative energy among the computed polymorphs comes out at 0.081 eV per atom.



# DyMg2Pd3

DyMg2Pd3 after structural relaxation (GGA-PBE, the Alexandria database).

Cell lengths 4.7164, 14.1284, 6.5246 Å; angles 90.00, 90.00, 90.00 degrees
Closest atoms and distances in Å follow each position.
Space group Cmmm (No. 65)
Symmetry-distinct sites (fractional):
Dy (0.0000, 0.1607, 0.0000) (multiplicity 4)  8 Pd 2.88-3.02
Mg (0.0000, 0.1714, 0.5000) (multiplicity 4)  8 Pd 2.80-2.84
Mg (0.0000, 0.5000, 0.0000) (multiplicity 2)  8 Pd 2.88-2.95
Mg (0.0000, 0.5000, 0.5000) (multiplicity 2)  8 Pd 2.78-2.79
Pd (0.0000, 0.0000, 0.2728) (multiplicity 4)  6 Mg 2.79-2.95, 2 Dy 2.88, 1 Pd 2.97
Pd (0.0000, 0.3363, 0.2632) (multiplicity 8)  5 Mg 2.78-2.88, 3 Dy 2.92-3.02, 1 Pd 3.09

Calculated values
The formation energy is -775 meV/atom. The relative energy among the computed polymorphs comes out at 0.000 eV per atom.



# Dy2MgPd2

Dy2MgPd2 after structural relaxation (GGA-PBE, the Alexandria database).

Cell lengths 7.6227, 7.6227, 3.8504 Å; angles 90.00, 90.00, 90.00 degrees
Closest atoms and distances in Å follow each position.
Space group P4/mbm (No. 127)
Symmetry-distinct sites (fractional):
Dy (0.1689, 0.3311, 0.0000) (multiplicity 4)  6 Pd 2.88-3.01
Mg (0.0000, 0.0000, 0.5000) (multiplicity 2)  4 Pd 2.98
Pd (0.1327, 0.6327, 0.5000) (multiplicity 4)  1 Pd 2.86, 6 Dy 2.88-3.01, 2 Mg 2.98

Calculated values
The formation energy is -775 meV/atom.



# DyMg2Pd9

DyMg2Pd9 after structural relaxation (GGA-PBE, the Alexandria database).

Cell lengths 4.0450, 4.0450, 11.9440 Å; angles 90.00, 90.00, 90.00 degrees
Closest atoms and distances in Å follow each position.
Space group P4/mmm (No. 123)
Symmetry-distinct sites (fractional):
Dy (0.0000, 0.0000, 0.0000) (multiplicity 1)  12 Pd 2.86-2.92
Mg (0.0000, 0.0000, 0.3390) (multiplicity 2)  12 Pd 2.79-2.86
Pd (0.0000, 0.5000, 0.1762) (multiplicity 4)  8 Pd 2.80-2.92, 2 Mg 2.81, 2 Dy 2.92
Pd (0.0000, 0.5000, 0.5000) (multiplicity 2)  4 Mg 2.79, 8 Pd 2.80-2.86
Pd (0.5000, 0.5000, 0.0000) (multiplicity 1)  4 Dy 2.86, 8 Pd 2.92
Pd (0.5000, 0.5000, 0.3382) (multiplicity 2)  8 Pd 2.80, 4 Mg 2.86

Calculated values
The formation energy is -599 meV/atom.



# DyMg3Pd4

DyMg3Pd4 after structural relaxation (GGA-PBE, the Alexandria database).

Cell lengths 4.6721, 4.6721, 6.4652 Å; angles 90.00, 90.00, 90.00 degrees
Closest atoms and distances in Å follow each position.
Space group P4/mmm (No. 123)
Symmetry-distinct sites (fractional):
Dy (0.0000, 0.0000, 0.0000) (multiplicity 1)  8 Pd 2.89, 2 Mg 3.23
Mg (0.0000, 0.0000, 0.5000) (multiplicity 1)  8 Pd 2.79
Mg (0.5000, 0.5000, 0.0000) (multiplicity 1)  8 Pd 2.89, 2 Mg 3.23
Mg (0.5000, 0.5000, 0.5000) (multiplicity 1)  8 Pd 2.79
Pd (0.0000, 0.5000, 0.2643) (multiplicity 4)  6 Mg 2.79-2.89, 2 Dy 2.89, 1 Pd 3.05

Calculated values
The formation energy is -765 meV/atom.